A plane-wave DFT calculation with PBE-GGA was carried out for an optimized crystal structure of Nb2CoCu.

DOS(E_F) ... 8.16 states/eV per cell
Calculated formation energy ... 0.365 eV/atom
Energy above the lowest structure with this stoichiometry ... 347 meV per atom
Total energy ... -7.470 eV per atom

Unit cell a=6.9413 b=6.9413 c=5.5661 alpha=51.42 beta=51.42 gamma=90.00
With the nearest neighbours (Å) after each atom.
Sites, in units of the cell vectors:
Co1 0.2500 0.7500 0.5000  4 Nb 2.40, 2 Cu 2.62
Cu1 0.7500 0.2500 0.5000  2 Co 2.62, 4 Nb 2.69
Nb1 0.3750 0.4056 0.7500  2 Co 2.40, 2 Nb 2.66
Co2 0.5000 0.5000 0.0000  4 Nb 2.40, 2 Cu 2.62
Cu2 0.0000 0.0000 0.0000  2 Co 2.62, 4 Nb 2.69
Nb2 0.1556 0.6250 0.2500  2 Co 2.40, 2 Nb 2.66
Nb3 0.8750 0.8444 0.7500  2 Co 2.40, 2 Nb 2.66
Nb4 0.5944 0.1250 0.2500  2 Co 2.40, 2 Nb 2.66